Record 1
First-principles (PBE) data for SrPmTcO6 after structural relaxation, as listed in the Alexandria database.

Summary:
Raw formation energy = -2230.5 meV per atom
Magnetization = 0.0 Bohr magnetons per cell
Mass density = 4.91 g/cm3
VASP energy = -66.622 eV for the cell shown
V = 16.016 Å³/atom

Cell: 5.6662 5.6662 5.1845 Å, 90.00 90.00 60.00°
With the nearest neighbours (Å) after each atom.
Element x y z (fractional)
Sr 0.0000 0.0000 0.0000  6 O 2.57
Pm 0.6666 0.6667 0.5000  6 O 2.32
Tc 0.3333 0.3333 0.5000  6 O 1.91
O 0.0536 0.3380 0.2907  1 Tc 1.91
O 0.3380 0.0537 0.7093  1 Tc 1.91
O 0.6083 0.3380 0.7093  1 Tc 1.91
O 0.0536 0.6084 0.7093  1 Tc 1.91
O 0.3380 0.6083 0.2907  1 Tc 1.91
O 0.6083 0.0536 0.2907  1 Tc 1.91



Record 2
First-principles (PBE) data for Sr2PmUO6 after structural relaxation, as listed in the Alexandria database.

Summary:
Raw formation energy = -3227.3 meV per atom
Magnetization = 2.0 Bohr magnetons per cell
Mass density = 6.71 g/cm3
VASP energy = -162.849 eV for the cell shown
V = 16.191 Å³/atom

Cell: 6.0404 6.2029 8.6428 Å, 90.00 90.08 90.00°
With the nearest neighbours (Å) after each atom.
Element x y z (fractional)
Sr 0.0125 0.9542 0.2513  4 O 2.51-2.64
Sr 0.5125 0.5458 0.7513  4 O 2.51-2.64
Sr 0.9875 0.0458 0.7487  4 O 2.51-2.64
Sr 0.4875 0.4542 0.2487  4 O 2.51-2.64
Pm 0.5000 0.0000 0.0000  6 O 2.35-2.37
Pm 0.0000 0.5000 0.5000  6 O 2.35-2.37
U 0.5000 0.0000 0.5000  6 O 2.16-2.18
U 0.0000 0.5000 0.0000  6 O 2.16-2.18
O 0.2880 0.6910 0.0539  1 U 2.16, 1 Pm 2.35
O 0.7880 0.8090 0.5539  1 U 2.16, 1 Pm 2.35
O 0.7120 0.3090 0.9461  1 U 2.16, 1 Pm 2.35
O 0.2120 0.1910 0.4461  1 U 2.16, 1 Pm 2.35
O 0.3107 0.7132 0.4386  1 U 2.18, 1 Pm 2.36
O 0.8107 0.7868 0.9386  1 U 2.18, 1 Pm 2.36
O 0.6893 0.2868 0.5614  1 U 2.18, 1 Pm 2.36
O 0.1893 0.2132 0.0614  1 U 2.18, 1 Pm 2.36
O 0.8928 0.5449 0.2384  1 U 2.18, 1 Pm 2.37
O 0.3928 0.9551 0.7384  1 U 2.18, 1 Pm 2.37
O 0.1072 0.4551 0.7616  1 U 2.18, 1 Pm 2.37
O 0.6072 0.0449 0.2616  1 U 2.18, 1 Pm 2.37